Compound: Hg2SeI
Source: Alexandria via LeMat-Bulk
Functional: PBE
Structure: optimized geometry Values from VASP.

## Properties
symmetry = P1 (1)
offset from the most stable computed form = 25 meV/atom
magnetization = 0.00 μB/f.u.

```
&SYSTEM
  ibrav = 0, nat = 8, ntyp = 3
/
ATOMIC_SPECIES
Hg 200.59 Hg.upf
Se 78.96 Se.upf
I 126.90 I.upf
ATOMIC_POSITIONS angstrom
Hg 0.000 0.000 0.000
Hg -0.040 1.624 2.707
Hg 2.146 4.802 2.991
Hg 2.154 -0.120 6.159
Se -0.047 4.014 1.700
Se 2.153 0.282 3.523
I -0.038 0.672 7.821
I 2.152 4.247 5.886
CELL_PARAMETERS angstrom
4.387 0.000 0.000
-0.003 7.285 0.000
-2.173 -2.741 9.469
```

***

Compound: HgSeI
Source: Alexandria via LeMat-Bulk
Functional: PBE
Structure: optimized geometry Values from VASP.

## Properties
symmetry = P-1 (2)
offset from the most stable computed form = 26 meV/atom
magnetization = 0.00 μB/f.u.

```
&SYSTEM
  ibrav = 0, nat = 6, ntyp = 3
/
ATOMIC_SPECIES
Hg 200.59 Hg.upf
Se 78.96 Se.upf
I 126.90 I.upf
ATOMIC_POSITIONS angstrom
Hg 0.780 0.087 1.700
Hg 2.280 3.464 8.053
Se -0.531 0.028 9.331
Se 3.590 3.523 0.422
I 0.184 3.020 6.292
I 2.876 0.531 3.461
CELL_PARAMETERS angstrom
4.545 0.000 0.000
-0.403 5.415 0.000
-1.083 -1.864 9.753
```

***

Compound: Hg2SeI
Source: Alexandria via LeMat-Bulk
Functional: PBE
Structure: optimized geometry Values from VASP.

## Properties
symmetry = Pmm2 (25)
offset from the most stable computed form = 88 meV/atom
magnetization = 0.00 μB/f.u.

```
&SYSTEM
  ibrav = 0, nat = 4, ntyp = 3
/
ATOMIC_SPECIES
Hg 200.59 Hg.upf
Se 78.96 Se.upf
I 126.90 I.upf
ATOMIC_POSITIONS angstrom
Hg 0.000 0.000 0.000
Hg 2.271 2.704 1.683
Se 0.000 2.704 0.258
I 2.271 0.000 3.211
CELL_PARAMETERS angstrom
4.542 0.000 0.000
0.000 5.407 0.000
0.000 0.000 5.934
```

***

Compound: Hg3SeI
Source: Alexandria via LeMat-Bulk
Functional: PBE
Structure: optimized geometry Values from VASP.

## Properties
symmetry = Pm-3m (221)
offset from the most stable computed form = 626 meV/atom
magnetization = 0.00 μB/f.u.

```
&SYSTEM
  ibrav = 0, nat = 5, ntyp = 3
/
ATOMIC_SPECIES
Hg 200.59 Hg.upf
Se 78.96 Se.upf
I 126.90 I.upf
ATOMIC_POSITIONS angstrom
Hg 0.000 0.000 2.931
Hg 0.000 2.931 0.000
Hg 2.931 0.000 0.000
Se 2.931 2.931 2.931
I 0.000 0.000 0.000
CELL_PARAMETERS angstrom
5.862 0.000 0.000
0.000 5.862 0.000
0.000 0.000 5.862
```

***

Compound: HgTeSeI2
Source: Alexandria via LeMat-Bulk
Functional: PBE
Structure: optimized geometry Values from VASP.

## Properties
symmetry = P4/mmm (123)
offset from the most stable computed form = 367 meV/atom
magnetization = 3.52 μB/f.u.

```
&SYSTEM
  ibrav = 0, nat = 5, ntyp = 4
/
ATOMIC_SPECIES
Hg 200.59 Hg.upf
Te 127.60 Te.upf
Se 78.96 Se.upf
I 126.90 I.upf
ATOMIC_POSITIONS angstrom
Hg 0.000 0.000 0.000
Te 0.000 0.000 2.862
Se 2.981 2.981 2.862
I 0.000 2.981 0.000
I 2.981 0.000 0.000
CELL_PARAMETERS angstrom
5.962 0.000 0.000
0.000 5.962 0.000
0.000 0.000 5.723
```

***

Compound: HgTeSe2I
Source: Alexandria via LeMat-Bulk
Functional: PBE
Structure: optimized geometry Values from VASP.

## Properties
symmetry = P2_1/m (11)
magnetization = 0.00 μB/f.u.

```
&SYSTEM
  ibrav = 0, nat = 10, ntyp = 4
/
ATOMIC_SPECIES
Hg 200.59 Hg.upf
Te 127.60 Te.upf
Se 78.96 Se.upf
I 126.90 I.upf
ATOMIC_POSITIONS angstrom
Hg -0.701 1.161 3.570
Hg 5.723 3.484 6.855
Te 0.471 1.161 8.770
Te 4.550 3.484 1.656
Se -1.186 1.161 6.628
Se -0.556 3.484 9.661
Se 5.578 1.161 0.765
Se 6.208 3.484 3.798
I 1.940 1.161 2.827
I 3.082 3.484 7.599
CELL_PARAMETERS angstrom
8.334 0.000 0.000
0.000 4.645 0.000
-3.312 0.000 10.426
```

***

Compound: Hg4Te2SeI
Source: Alexandria via LeMat-Bulk
Functional: PBE
Structure: optimized geometry Values from VASP.

## Properties
symmetry = Fmm2 (42)
magnetization = 0.00 μB/f.u.

```
&SYSTEM
  ibrav = 0, nat = 8, ntyp = 4
/
ATOMIC_SPECIES
Hg 200.59 Hg.upf
Te 127.60 Te.upf
Se 78.96 Se.upf
I 126.90 I.upf
ATOMIC_POSITIONS angstrom
Hg 4.772 2.102 6.638
Hg 6.867 4.780 9.794
Hg 4.772 7.457 6.638
Hg 2.676 4.780 9.794
Te 2.386 2.390 1.583
Te 7.158 7.169 8.220
Se 4.772 4.780 11.539
I 4.772 4.780 4.904
CELL_PARAMETERS angstrom
0.000 4.780 6.638
4.772 0.000 6.638
4.772 4.780 0.000
```

***

Compound: HgTeSeI2
Source: Alexandria via LeMat-Bulk
Functional: PBE
Structure: optimized geometry Values from VASP.

## Properties
symmetry = P4/mmm (123)
offset from the most stable computed form = 0 meV/atom
magnetization = 0.00 μB/f.u.

```
&SYSTEM
  ibrav = 0, nat = 5, ntyp = 4
/
ATOMIC_SPECIES
Hg 200.59 Hg.upf
Te 127.60 Te.upf
Se 78.96 Se.upf
I 126.90 I.upf
ATOMIC_POSITIONS angstrom
Hg 0.000 0.000 0.000
Te 2.888 2.888 0.000
Se 2.888 2.888 2.811
I 0.000 2.888 2.811
I 2.888 0.000 2.811
CELL_PARAMETERS angstrom
5.776 0.000 0.000
0.000 5.776 0.000
0.000 0.000 5.622
```

***

Compound: Hg4TeSe2I
Source: Alexandria via LeMat-Bulk
Functional: PBE
Structure: optimized geometry Values from VASP.

## Properties
symmetry = Fmm2 (42)
magnetization = 0.00 μB/f.u.

```
&SYSTEM
  ibrav = 0, nat = 8, ntyp = 4
/
ATOMIC_SPECIES
Hg 200.59 Hg.upf
Te 127.60 Te.upf
Se 78.96 Se.upf
I 126.90 I.upf
ATOMIC_POSITIONS angstrom
Hg 4.644 2.133 6.662
Hg 6.770 4.657 9.502
Hg 4.644 7.181 6.662
Hg 2.518 4.657 9.502
Te 4.644 4.657 11.418
Se 2.322 2.328 1.425
Se 6.966 6.985 8.087
I 4.644 4.657 4.758
CELL_PARAMETERS angstrom
0.000 4.657 6.662
4.644 0.000 6.662
4.644 4.657 0.000
```

***

Compound: Tl4HgSeI2
Source: Alexandria via LeMat-Bulk
Functional: PBE
Structure: optimized geometry Values from VASP.

## Properties
symmetry = P2/m (10)
magnetization = 0.00 μB/f.u.

```
&SYSTEM
  ibrav = 0, nat = 8, ntyp = 4
/
ATOMIC_SPECIES
Tl 204.38 Tl.upf
Hg 200.59 Hg.upf
Se 78.96 Se.upf
I 126.90 I.upf
ATOMIC_POSITIONS angstrom
Tl 1.053 0.000 1.865
Tl -0.511 2.422 6.353
Tl 5.531 2.422 1.816
Tl 3.967 0.000 6.303
Hg -1.439 0.000 4.084
Se 0.000 2.422 0.000
I 3.949 0.000 0.000
I 2.510 2.422 4.084
CELL_PARAMETERS angstrom
7.898 0.000 0.000
0.000 4.845 0.000
-2.878 0.000 8.169
```

***

Compound: Tl2HgSeI
Source: Alexandria via LeMat-Bulk
Functional: PBE
Structure: optimized geometry Values from VASP.

## Properties
symmetry = P4/mmm (123)
magnetization = 0.00 μB/f.u.

```
&SYSTEM
  ibrav = 0, nat = 5, ntyp = 4
/
ATOMIC_SPECIES
Tl 204.38 Tl.upf
Hg 200.59 Hg.upf
Se 78.96 Se.upf
I 126.90 I.upf
ATOMIC_POSITIONS angstrom
Tl 0.000 3.182 0.000
Tl 3.182 0.000 0.000
Hg 0.000 0.000 2.617
Se 0.000 0.000 0.000
I 3.182 3.182 2.617
CELL_PARAMETERS angstrom
6.364 0.000 0.000
0.000 6.364 0.000
0.000 0.000 5.234
```

***

Compound: Si3HgI
Source: Alexandria via LeMat-Bulk
Functional: PBE
Structure: optimized geometry Values from VASP.

## Properties
symmetry = Pm-3m (221)
offset from the most stable computed form = 0 meV/atom
magnetization = 0.00 μB/f.u.

```
&SYSTEM
  ibrav = 0, nat = 5, ntyp = 3
/
ATOMIC_SPECIES
Si 28.09 Si.upf
Hg 200.59 Hg.upf
I 126.90 I.upf
ATOMIC_POSITIONS angstrom
Si 0.000 0.000 2.585
Si 0.000 2.585 0.000
Si 2.585 0.000 0.000
Hg 0.000 0.000 0.000
I 2.585 2.585 2.585
CELL_PARAMETERS angstrom
5.170 0.000 0.000
0.000 5.170 0.000
0.000 0.000 5.170
```

***

Compound: SiHg4I2
Source: Alexandria via LeMat-Bulk
Functional: PBE
Structure: optimized geometry Values from VASP.

## Properties
symmetry = I4/mmm (139)
magnetization = 0.00 μB/f.u.

```
&SYSTEM
  ibrav = 0, nat = 7, ntyp = 3
/
ATOMIC_SPECIES
Si 28.09 Si.upf
Hg 200.59 Hg.upf
I 126.90 I.upf
ATOMIC_POSITIONS angstrom
Si 0.000 0.000 0.000
Hg 2.615 0.000 0.000
Hg 0.000 0.000 2.662
Hg 0.000 2.615 0.000
Hg 0.000 0.000 13.770
I 0.000 0.000 5.616
I 0.000 0.000 10.816
CELL_PARAMETERS angstrom
-2.615 2.615 8.216
2.615 -2.615 8.216
2.615 2.615 -8.216
```

***

Let's list energy relative to the elements, uncorrected in order: -183.4, -158.8, -120.3, 575.5, 637.7, -68.7, -139.2, 270.3, -147.8, -407.7, -268.9, 1226.0, -51.7 meV/atom.